Entry 1:
The following is a DFT calculation (PBE) of InTe after structural relaxation.

**Density**: 4.60 g cm⁻³
**ΔE_f (raw)**: -0.129 eV/atom
**Total DFT energy (no corrections)**: -3.0693 eV per atom

a b c (Å): 7.0454 7.0454 7.0454
angles (deg): 90.00 90.00 90.00
With the nearest neighbours (Å) after each atom.
Element x y z (fractional)
In (0.2500, 0.2500, 0.2500)  4 Te 3.05
In (0.2500, 0.7500, 0.7500)  4 Te 3.05
In (0.7500, 0.2500, 0.7500)  4 Te 3.05
In (0.7500, 0.7500, 0.2500)  4 Te 3.05
Te (0.0000, 0.0000, 0.0000)  4 In 3.05
Te (0.0000, 0.5000, 0.5000)  4 In 3.05
Te (0.5000, 0.0000, 0.5000)  4 In 3.05
Te (0.5000, 0.5000, 0.0000)  4 In 3.05

Entry 2:
The following is a DFT calculation (PBE) of Ac2CeIO4 after structural relaxation.

**Density**: 7.35 g cm⁻³
**ΔE_f (raw)**: -3.068 eV/atom
**Total DFT energy (no corrections)**: -7.5095 eV per atom

a b c (Å): 4.2041 4.2041 10.0306
angles (deg): 90.00 90.00 90.00
With the nearest neighbours (Å) after each atom.
Element x y z (fractional)
Ac (0.5000, 0.5000, 0.2539)  4 O 2.38
Ac (0.5000, 0.5000, 0.7461)  4 O 2.38
Ce (0.0000, 0.0000, 0.0000)  8 O 2.54
I (0.0000, 0.0000, 0.5000)  8 Ac 3.86, 8 O 4.16, 4 I 4.20
O (0.0000, 0.5000, 0.1425)  2 Ac 2.38, 2 Ce 2.54
O (0.5000, 0.0000, 0.8575)  2 Ac 2.38, 2 Ce 2.54
O (0.5000, 0.0000, 0.1425)  2 Ac 2.38, 2 Ce 2.54
O (0.0000, 0.5000, 0.8575)  2 Ac 2.38, 2 Ce 2.54

Entry 3:
The following is a DFT calculation (PBE) of Rb2Zr3PbO8 after structural relaxation.

**Density**: 5.00 g cm⁻³
**ΔE_f (raw)**: -2.600 eV/atom
**Total DFT energy (no corrections)**: -7.6676 eV per atom

a b c (Å): 6.5948 6.5948 7.8628
angles (deg): 65.21 65.21 60.00
With the nearest neighbours (Å) after each atom.
Element x y z (fractional)
Rb (0.1306, 0.1306, 0.6081)  4 O 2.70-3.01
Rb (0.4975, 0.4975, 0.5074)  6 O 2.89-2.92
Zr (0.4969, 0.0059, 0.0003)  6 O 2.06-2.21
Zr (0.0059, 0.4969, 0.0003)  6 O 2.06-2.21
Zr (0.4969, 0.4969, 0.0003)  6 O 2.06-2.21
Pb (0.8954, 0.8954, 0.3138)  3 O 2.25
O (0.2764, 0.2764, 0.1708)  3 Zr 2.21
O (0.7137, 0.7137, 0.8588)  3 Zr 2.17
O (0.2365, 0.2365, 0.8498)  2 Zr 2.06
O (0.6772, 0.2365, 0.8498)  2 Zr 2.06
O (0.2365, 0.6772, 0.8498)  2 Zr 2.06
O (0.7656, 0.2978, 0.1709)  2 Zr 2.20, 1 Pb 2.25
O (0.2978, 0.7656, 0.1709)  2 Zr 2.20, 1 Pb 2.25
O (0.7656, 0.7656, 0.1709)  2 Zr 2.20, 1 Pb 2.25

Entry 4:
The following is a DFT calculation (PBE) of LiNbTeO6 after structural relaxation.

**Density**: 4.57 g cm⁻³
**ΔE_f (raw)**: -1.715 eV/atom
**Total DFT energy (no corrections)**: -6.7009 eV per atom

a b c (Å): 5.3019 5.3019 9.6508
angles (deg): 90.00 90.00 120.00
With the nearest neighbours (Å) after each atom.
Element x y z (fractional)
Li (0.0000, 0.0000, 0.0000)  6 O 2.38
Li (0.0000, 0.0000, 0.5000)  6 O 2.38
Nb (0.6667, 0.3333, 0.2500)  6 O 2.03
Nb (0.3333, 0.6667, 0.7500)  6 O 2.03
Te (0.3333, 0.6667, 0.2500)  6 O 1.96
Te (0.6667, 0.3333, 0.7500)  6 O 1.96
O (0.6241, 0.6345, 0.1383)  1 Te 1.96, 1 Nb 2.03
O (0.0103, 0.3759, 0.1383)  1 Te 1.96, 1 Nb 2.03
O (0.3759, 0.0103, 0.6383)  1 Te 1.96, 1 Nb 2.03
O (0.9897, 0.6241, 0.8617)  1 Te 1.96, 1 Nb 2.03
O (0.3655, 0.3759, 0.3617)  1 Te 1.96, 1 Nb 2.03
O (0.0103, 0.6345, 0.3617)  1 Te 1.96, 1 Nb 2.03
O (0.6345, 0.0103, 0.8617)  1 Te 1.96, 1 Nb 2.03
O (0.6241, 0.9897, 0.3617)  1 Te 1.96, 1 Nb 2.03
O (0.9897, 0.3655, 0.6383)  1 Te 1.96, 1 Nb 2.03
O (0.3655, 0.9897, 0.1383)  1 Te 1.96, 1 Nb 2.03
O (0.6345, 0.6241, 0.6383)  1 Te 1.96, 1 Nb 2.03
O (0.3759, 0.3655, 0.8617)  1 Te 1.96, 1 Nb 2.03

Entry 5:
The following is a DFT calculation (PBE) of Rb2BaFeCl6 after structural relaxation.

**Density**: 3.02 g cm⁻³
**ΔE_f (raw)**: -1.712 eV/atom
**Energy above the lowest structure with this stoichiometry**: 0.00 kcal/mol of atoms
**Total DFT energy (no corrections)**: -4.0519 eV per atom

a b c (Å): 7.5600 7.7594 10.8003
angles (deg): 90.00 90.87 90.00
With the nearest neighbours (Å) after each atom.
Element x y z (fractional)
Rb (0.0170, 0.9443, 0.2471)  7 Cl 3.34-3.74
Rb (0.5170, 0.5557, 0.7471)  7 Cl 3.34-3.74
Rb (0.9830, 0.0557, 0.7529)  7 Cl 3.34-3.74
Rb (0.4830, 0.4443, 0.2529)  7 Cl 3.34-3.74
Ba (0.5000, 0.0000, 0.0000)  6 Cl 3.05-3.06
Ba (0.0000, 0.5000, 0.5000)  6 Cl 3.05-3.06
Fe (0.5000, 0.0000, 0.5000)  6 Cl 2.50-2.53
Fe (0.0000, 0.5000, 0.0000)  6 Cl 2.50-2.53
Cl (0.2676, 0.6834, 0.0418)  1 Fe 2.51
Cl (0.7676, 0.8166, 0.5418)  1 Fe 2.51
Cl (0.7324, 0.3166, 0.9582)  1 Fe 2.51
Cl (0.2324, 0.1834, 0.4582)  1 Fe 2.51
Cl (0.3199, 0.7320, 0.4541)  1 Fe 2.53
Cl (0.8199, 0.7680, 0.9541)  1 Fe 2.53
Cl (0.6801, 0.2680, 0.5459)  1 Fe 2.53
Cl (0.1801, 0.2320, 0.0459)  1 Fe 2.53
Cl (0.9171, 0.5217, 0.2231)  1 Fe 2.50
Cl (0.4171, 0.9783, 0.7231)  1 Fe 2.50
Cl (0.0829, 0.4783, 0.7769)  1 Fe 2.50
Cl (0.5829, 0.0217, 0.2769)  1 Fe 2.50

Entry 6:
The following is a DFT calculation (PBE) of MnSn2B after structural relaxation.

**Density**: 6.64 g cm⁻³
**Formation energy from the elements**: 0.662 eV per atom
**Total DFT energy (no corrections)**: -5.3012 eV per atom

a b c (Å): 7.3179 7.3179 5.8991
angles (deg): 51.66 51.66 90.00
With the nearest neighbours (Å) after each atom.
Element x y z (fractional)
B (0.5000, 0.5000, 0.0000)  4 Sn 2.35
B (0.2500, 0.7500, 0.5000)  4 Sn 2.35
Mn (0.0000, 0.0000, 0.0000)  2 B 2.83, 8 Sn 3.07-3.09
Mn (0.7500, 0.2500, 0.5000)  2 B 2.83, 8 Sn 3.07-3.09
Sn (0.5524, 0.1250, 0.2500)  2 B 2.35
Sn (0.1976, 0.6250, 0.2500)  2 B 2.35
Sn (0.3750, 0.4476, 0.7500)  2 B 2.35
Sn (0.8750, 0.8024, 0.7500)  2 B 2.35